(1)
A plane-wave DFT calculation with PBE was carried out for an optimized crystal structure of KRb4Hg3F12. Values from VASP.

Computed properties:
- VASP energy: -3.493 eV per atom

The structure in Quantum ESPRESSO input format:
```
&SYSTEM
  ibrav = 0, nat = 20, ntyp = 4
/
ATOMIC_SPECIES
K 39.10 K.upf
Rb 85.47 Rb.upf
F 19.00 F.upf
Hg 200.59 Hg.upf
ATOMIC_POSITIONS crystal
K 0.000 0.000 0.000
Rb 0.500 0.000 0.000
Rb 0.500 0.500 0.500
Rb 0.000 0.500 0.000
Rb 0.000 0.000 0.500
F 0.750 0.250 0.500
F 0.268 0.000 0.268
F 0.000 0.732 0.732
F 0.500 0.750 0.250
F 0.250 0.500 0.750
F 0.750 0.500 0.250
F 0.500 0.250 0.750
F 0.000 0.268 0.268
F 0.732 0.000 0.732
F 0.732 0.732 0.000
F 0.268 0.268 0.000
F 0.250 0.750 0.500
Hg 0.500 0.000 0.500
Hg 0.500 0.500 0.000
Hg 0.000 0.500 0.500
CELL_PARAMETERS angstrom
-5.918 -3.976 -3.810
-0.990 -0.707 7.992
-0.239 7.812 -2.064
```

=====

(2)
A plane-wave DFT calculation with PBE was carried out for an optimized crystal structure of K2RbHgF6. Values from VASP.

Computed properties:
- VASP energy: -3.622 eV per atom

The structure in Quantum ESPRESSO input format:
```
&SYSTEM
  ibrav = 0, nat = 20, ntyp = 4
/
ATOMIC_SPECIES
K 39.10 K.upf
Hg 200.59 Hg.upf
F 19.00 F.upf
Rb 85.47 Rb.upf
ATOMIC_POSITIONS crystal
K 0.016 0.951 0.267
K 0.984 0.049 0.733
K 0.484 0.451 0.233
K 0.516 0.549 0.767
Hg 0.000 0.500 0.000
Hg 0.500 0.000 0.500
F 0.215 0.164 0.464
F 0.669 0.263 0.597
F 0.374 0.911 0.717
F 0.715 0.336 0.964
F 0.331 0.737 0.403
F 0.874 0.589 0.217
F 0.285 0.664 0.036
F 0.626 0.089 0.283
F 0.785 0.836 0.536
F 0.126 0.411 0.783
F 0.831 0.763 0.903
F 0.169 0.237 0.097
Rb 0.000 0.500 0.500
Rb 0.500 0.000 0.000
CELL_PARAMETERS angstrom
6.446 0.000 0.072
0.000 6.856 0.000
0.150 0.000 9.199
```

=====

(3)
A plane-wave DFT calculation with PBE was carried out for an optimized crystal structure of KRb2HgF. Values from VASP.

Computed properties:
- Distance to the lowest polymorph of the same formula: 0.093 eV/atom
- VASP energy: -2.052 eV per atom

The structure in Quantum ESPRESSO input format:
```
&SYSTEM
  ibrav = 0, nat = 5, ntyp = 4
/
ATOMIC_SPECIES
Hg 200.59 Hg.upf
Rb 85.47 Rb.upf
K 39.10 K.upf
F 19.00 F.upf
ATOMIC_POSITIONS crystal
Hg 0.000 0.000 0.500
Rb 0.000 0.500 0.000
Rb 0.500 0.000 0.000
K 0.500 0.500 0.500
F 0.000 0.000 0.000
CELL_PARAMETERS angstrom
5.489 0.000 0.000
0.000 5.489 0.000
0.000 0.000 7.587
```